VASP calculation (PBE) on crystalline Ba4IrCl3 at its relaxed geometry.

Lattice parameters (Å, degrees): 8.2959 9.4532 7.9212 90.00 109.73 90.00
Closest atoms and distances in Å follow each position.
Space group P2/c (No. 13)
One atom of each set of equivalent atoms:
Ba 0.2214 0.1056 0.4964  2 Ir 3.11-3.15, 2 Cl 3.44-3.48
Ba 0.2319 0.3486 0.9726  1 Ir 2.97, 3 Cl 3.20-3.31
Ir 0.0000 0.1289 0.7500  6 Ba 2.97-3.15
Cl 0.0000 0.3927 0.2500  6 Ba 3.24-3.48
Cl 0.5000 0.1438 0.2500  6 Ba 3.20-3.51
Cl 0.5000 0.3982 0.7500  4 Ba 3.31-3.49

Computed properties:
Uncorrected formation energy   -1.448 eV per atom